This record from Alexandria via LeMat-Bulk describes a relaxed Ba2LaTc crystal. The functional is PBE-GGA.

Lattice parameters (Å, degrees): 4.777 4.777 5.800 90.00 90.00 90.00
Space group P4/mmm (No. 123)
Inequivalent atoms, fractional coordinates:
1 Ba 0.000 0.500 0.000 (multiplicity 2)
2 La 0.000 0.000 0.500 (multiplicity 1)
3 Tc 0.500 0.500 0.500 (multiplicity 1)

Summary:
ΔE_f, eV per atom: 0.77
E, Ha/atom: -0.148
Density, kg/m3: 6418
Total magnetic moment, μB/cell: 0.8
ΔE to the lowest computed polymorph, meV/atom: 429